# 1
Compound: RePdSN2
Source: Alexandria via LeMat-Bulk
Functional: SCAN
Structure: PBEsol geometry

Geometry as CIF:
```
data_RePdSN2
_chemical_formula_sum 'Re1 Pd1 S1 N2'
_cell_length_a 3.7591
_cell_length_b 3.7591
_cell_length_c 4.9936
_cell_angle_alpha 90.00
_cell_angle_beta 90.00
_cell_angle_gamma 90.00
_symmetry_space_group_name_H-M 'P 4/m m m'
_symmetry_Int_Tables_number 123
_symmetry_space_group_name_Hall '-P 4 2'
loop_
_atom_site_label
_atom_site_type_symbol
_atom_site_fract_x
_atom_site_fract_y
_atom_site_fract_z
Re1 Re 0.0000 0.0000 0.0000
Pd1 Pd 0.5000 0.5000 0.5000
S1 S 0.0000 0.0000 0.5000
N1 N 0.0000 0.5000 0.0000
```

Properties
**Formation energy without anion corrections**: 553 meV per atom
**D(E_F)**: 4.1 states/eV/f.u.
**Total DFT energy (no corrections)**: -25.863 eV per atom

***

# 2
Compound: ReSiPd2N
Source: Alexandria via LeMat-Bulk
Functional: SCAN
Structure: PBEsol geometry

Geometry as CIF:
```
data_ReSiPd2N
_chemical_formula_sum 'Re1 Si1 Pd2 N1'
_cell_length_a 4.0652
_cell_length_b 4.0652
_cell_length_c 3.8574
_cell_angle_alpha 90.00
_cell_angle_beta 90.00
_cell_angle_gamma 90.00
_symmetry_space_group_name_H-M 'P 4/m m m'
_symmetry_Int_Tables_number 123
_symmetry_space_group_name_Hall '-P 4 2'
loop_
_atom_site_label
_atom_site_type_symbol
_atom_site_fract_x
_atom_site_fract_y
_atom_site_fract_z
Re1 Re 0.0000 0.0000 0.0000
Si1 Si 0.5000 0.5000 0.0000
Pd1 Pd 0.0000 0.5000 0.5000
N1 N 0.5000 0.5000 0.5000
```

Properties
**Formation energy without anion corrections**: 710 meV per atom
**D(E_F)**: 2.4 states/eV/f.u.
**Total DFT energy (no corrections)**: -30.481 eV per atom

***

# 3
Compound: Pd3RuN
Source: Alexandria via LeMat-Bulk
Functional: SCAN
Structure: PBEsol geometry

Geometry as CIF:
```
data_Pd3RuN
_chemical_formula_sum 'Pd3 Ru1 N1'
_cell_length_a 4.7003
_cell_length_b 4.7003
_cell_length_c 4.7003
_cell_angle_alpha 90.00
_cell_angle_beta 90.00
_cell_angle_gamma 90.00
_symmetry_space_group_name_H-M 'P m -3 m'
_symmetry_Int_Tables_number 221
_symmetry_space_group_name_Hall '-P 4 2 3'
loop_
_atom_site_label
_atom_site_type_symbol
_atom_site_fract_x
_atom_site_fract_y
_atom_site_fract_z
Pd1 Pd 0.0000 0.0000 0.5000
Ru1 Ru 0.0000 0.0000 0.0000
N1 N 0.5000 0.5000 0.5000
```

Properties
**Formation energy without anion corrections**: 2196 meV per atom
**D(E_F)**: 5.1 states/eV/f.u.
**Total DFT energy (no corrections)**: -26.292 eV per atom

***

# 4
Compound: PdRuN2
Source: Alexandria via LeMat-Bulk
Functional: SCAN
Structure: PBEsol geometry

Geometry as CIF:
```
data_PdRuN2
_chemical_formula_sum 'Pd4 Ru4 N8'
_cell_length_a 5.3659
_cell_length_b 5.3659
_cell_length_c 5.3659
_cell_angle_alpha 90.00
_cell_angle_beta 90.00
_cell_angle_gamma 90.00
_symmetry_space_group_name_H-M 'F m -3 m'
_symmetry_Int_Tables_number 225
_symmetry_space_group_name_Hall '-F 4 2 3'
loop_
_atom_site_label
_atom_site_type_symbol
_atom_site_fract_x
_atom_site_fract_y
_atom_site_fract_z
Pd1 Pd 0.0000 0.0000 0.0000
Ru1 Ru 0.0000 0.0000 0.5000
N1 N 0.2500 0.2500 0.2500
```

Properties
**Formation energy without anion corrections**: 1388 meV per atom
**D(E_F)**: 3.5 states/eV/f.u.
**Energy above the most stable polymorph in this dataset**: 957 meV/atom
**Total DFT energy (no corrections)**: -20.157 eV per atom